# PBE-GGA PmSm2In3Hg6, relaxed
data_PmSm2In3Hg6
_cell_length_a 4.272
_cell_length_b 4.272
_cell_length_c 20.520
_cell_angle_alpha 90.00
_cell_angle_beta 90.00
_cell_angle_gamma 90.00
_space_group_name_H-M_alt 'P 1'
_space_group_IT_number 1
loop_
_space_group_symop_operation_xyz
'x,y,z'
loop_
_atom_site_label
_atom_site_fract_x
_atom_site_fract_y
_atom_site_fract_z
In1 0.000 0.000 0.723
In2 0.000 0.000 0.277
In3 0.000 0.000 0.000
Hg1 0.000 0.000 0.864
Hg2 0.500 0.000 0.616
Hg3 0.000 0.500 0.384
Hg4 0.000 0.000 0.136
Hg5 0.500 0.000 0.384
Hg6 0.000 0.500 0.616
Pm1 0.500 0.500 0.500
Sm1 0.500 0.500 0.215
Sm2 0.500 0.500 0.785
# Calculated formation energy: -0.08 eV per atom
# SG: P4/mmm (123)

# PBE-GGA TaZn2Ru, relaxed
data_TaZn2Ru
_cell_length_a 4.422
_cell_length_b 2.757
_cell_length_c 5.164
_cell_angle_alpha 76.71
_cell_angle_beta 90.00
_cell_angle_gamma 90.00
_space_group_name_H-M_alt 'P 1'
_space_group_IT_number 1
loop_
_space_group_symop_operation_xyz
'x,y,z'
loop_
_atom_site_label
_atom_site_fract_x
_atom_site_fract_y
_atom_site_fract_z
Ru1 0.500 0.250 0.250
Zn1 0.000 0.076 0.011
Zn2 0.000 0.424 0.489
Ta1 0.500 0.750 0.750
# Calculated formation energy: 0.02 eV per atom
# Distance to the lowest polymorph of the same formula: 51.3 kJ/mol of formula units
# SG: P2/m (10)

# PBE-GGA LaSBr, relaxed
data_LaSBr
_cell_length_a 6.836
_cell_length_b 4.409
_cell_length_c 4.409
_cell_angle_alpha 120.00
_cell_angle_beta 90.00
_cell_angle_gamma 90.00
_space_group_name_H-M_alt 'P 1'
_space_group_IT_number 1
loop_
_space_group_symop_operation_xyz
'x,y,z'
loop_
_atom_site_label
_atom_site_fract_x
_atom_site_fract_y
_atom_site_fract_z
Br1 0.767 0.667 0.333
La1 0.034 0.000 0.000
S1 0.199 0.333 0.667
# Formation energy from raw total energies: -2.02 eV per atom
# SG: P3m1 (156)

# PBE-GGA MgTa2CuGe, relaxed
data_MgTa2CuGe
_cell_length_a 4.833
_cell_length_b 4.242
_cell_length_c 4.833
_cell_angle_alpha 90.00
_cell_angle_beta 90.00
_cell_angle_gamma 90.00
_space_group_name_H-M_alt 'P 1'
_space_group_IT_number 1
loop_
_space_group_symop_operation_xyz
'x,y,z'
loop_
_atom_site_label
_atom_site_fract_x
_atom_site_fract_y
_atom_site_fract_z
Mg1 0.000 0.000 0.000
Ta1 0.000 0.000 0.500
Ta2 0.500 0.000 0.000
Cu1 0.000 0.500 0.000
Ge1 0.500 0.500 0.500
# Calculated formation energy: 1.66 eV per atom
# SG: P4/mmm (123)

# PBE-GGA HfPaNbOs, relaxed
data_HfPaNbOs
_cell_length_a 4.807
_cell_length_b 4.807
_cell_length_c 4.807
_cell_angle_alpha 60.00
_cell_angle_beta 60.00
_cell_angle_gamma 60.00
_space_group_name_H-M_alt 'P 1'
_space_group_IT_number 1
loop_
_space_group_symop_operation_xyz
'x,y,z'
loop_
_atom_site_label
_atom_site_fract_x
_atom_site_fract_y
_atom_site_fract_z
Nb1 0.250 0.250 0.250
Os1 0.750 0.750 0.750
Pa1 0.500 0.500 0.500
Hf1 0.000 0.000 0.000
# Calculated formation energy: -0.20 eV per atom
# SG: F-43m (216)

# PBE-GGA MgMo2Os, relaxed
data_MgMo2Os
_cell_length_a 4.447
_cell_length_b 4.447
_cell_length_c 4.447
_cell_angle_alpha 60.00
_cell_angle_beta 60.00
_cell_angle_gamma 60.00
_space_group_name_H-M_alt 'P 1'
_space_group_IT_number 1
loop_
_space_group_symop_operation_xyz
'x,y,z'
loop_
_atom_site_label
_atom_site_fract_x
_atom_site_fract_y
_atom_site_fract_z
Mo1 0.000 0.000 0.000
Mo2 0.250 0.250 0.250
Mg1 0.500 0.500 0.500
Os1 0.750 0.750 0.750
# Calculated formation energy: 0.24 eV per atom
# SG: F-43m (216)

# PBE-GGA SrBr, relaxed
data_SrBr
_cell_length_a 4.200
_cell_length_b 4.200
_cell_length_c 8.323
_cell_angle_alpha 90.00
_cell_angle_beta 90.00
_cell_angle_gamma 90.00
_space_group_name_H-M_alt 'P 1'
_space_group_IT_number 1
loop_
_space_group_symop_operation_xyz
'x,y,z'
loop_
_atom_site_label
_atom_site_fract_x
_atom_site_fract_y
_atom_site_fract_z
Sr1 0.750 0.750 0.706
Sr2 0.250 0.250 0.294
Br1 0.750 0.750 0.137
Br2 0.250 0.250 0.863
# Formation energy from raw total energies: -1.48 eV per atom
# SG: P4/nmm (129)

# PBE-GGA Tb5PrSc4, relaxed
data_Tb5PrSc4
_cell_length_a 5.396
_cell_length_b 11.195
_cell_length_c 10.213
_cell_angle_alpha 90.00
_cell_angle_beta 90.00
_cell_angle_gamma 90.00
_space_group_name_H-M_alt 'P 1'
_space_group_IT_number 1
loop_
_space_group_symop_operation_xyz
'x,y,z'
loop_
_atom_site_label
_atom_site_fract_x
_atom_site_fract_y
_atom_site_fract_z
Sc1 0.249 0.500 0.745
Sc2 0.750 0.807 0.000
Sc3 0.750 0.193 0.000
Sc4 0.751 0.000 0.755
Sc5 0.250 0.307 0.500
Sc6 0.751 0.000 0.245
Sc7 0.250 0.693 0.500
Sc8 0.249 0.500 0.255
Tb1 0.250 0.202 0.200
Tb2 0.750 0.298 0.700
Tb3 0.749 0.500 0.000
Tb4 0.250 0.202 0.800
Tb5 0.750 0.298 0.300
Tb6 0.750 0.702 0.300
Tb7 0.250 0.798 0.800
Tb8 0.250 0.798 0.200
Tb9 0.750 0.702 0.700
Tb10 0.251 0.000 0.500
Pr1 0.250 0.000 0.000
Pr2 0.750 0.500 0.500
# Calculated formation energy: 0.28 eV per atom
# Distance to the lowest polymorph of the same formula: 0.0 kJ/mol of formula units
# SG: Pmmn (59)

# PBE-GGA Mn2AgCl, relaxed
data_Mn2AgCl
_cell_length_a 3.070
_cell_length_b 3.070
_cell_length_c 8.002
_cell_angle_alpha 90.00
_cell_angle_beta 90.00
_cell_angle_gamma 90.01
_space_group_name_H-M_alt 'P 1'
_space_group_IT_number 1
loop_
_space_group_symop_operation_xyz
'x,y,z'
loop_
_atom_site_label
_atom_site_fract_x
_atom_site_fract_y
_atom_site_fract_z
Mn1 0.000 0.000 0.003
Mn2 0.500 0.500 0.224
Ag1 0.000 0.000 0.444
Cl1 0.500 0.500 0.828
# Formation energy from raw total energies: 0.11 eV per atom
# Distance to the lowest polymorph of the same formula: 0.0 kJ/mol of formula units
# SG: P4mm (99)

# PBE-GGA Hg2IrCl, relaxed
data_Hg2IrCl
_cell_length_a 3.151
_cell_length_b 4.370
_cell_length_c 7.403
_cell_angle_alpha 90.00
_cell_angle_beta 90.00
_cell_angle_gamma 90.00
_space_group_name_H-M_alt 'P 1'
_space_group_IT_number 1
loop_
_space_group_symop_operation_xyz
'x,y,z'
loop_
_atom_site_label
_atom_site_fract_x
_atom_site_fract_y
_atom_site_fract_z
Hg1 0.500 0.500 0.369
Hg2 0.000 0.000 0.983
Ir1 0.000 0.000 0.336
Cl1 0.500 0.500 0.812
# Formation energy from raw total energies: 0.40 eV per atom
# Distance to the lowest polymorph of the same formula: 99.0 kJ/mol of formula units
# SG: Pmm2 (25)

# PBE-GGA KIn5Hg, relaxed
data_KIn5Hg
_cell_length_a 4.587
_cell_length_b 4.587
_cell_length_c 10.597
_cell_angle_alpha 90.00
_cell_angle_beta 90.00
_cell_angle_gamma 90.00
_space_group_name_H-M_alt 'P 1'
_space_group_IT_number 1
loop_
_space_group_symop_operation_xyz
'x,y,z'
loop_
_atom_site_label
_atom_site_fract_x
_atom_site_fract_y
_atom_site_fract_z
In1 0.500 0.000 0.779
In2 0.000 0.500 0.221
In3 0.500 0.000 0.221
In4 0.500 0.500 0.000
In5 0.000 0.500 0.779
Hg1 0.000 0.000 0.000
K1 0.000 0.000 0.500
# Calculated formation energy: -0.03 eV per atom
# SG: P4/mmm (123)